Density functional theory data (PBE-GGA) for a relaxed Np3SnH crystal.

Cell lengths 4.6685, 4.6685, 4.6685 Å; angles 90.00, 90.00, 90.00 degrees
Last column: nearest neighbours and their distance in Å.
Fractional positions:
H: 0.0000 0.0000 0.0000  6 Np 2.33
Np: 0.5000 0.0000 0.0000  2 H 2.33
Np: 0.0000 0.0000 0.5000  2 H 2.33
Np: 0.0000 0.5000 0.0000  2 H 2.33
Sn: 0.5000 0.5000 0.5000  12 Np 3.30

## Properties
Uncorrected energy   -9.12 eV per atom
SG   Pm-3m (221)
Magnetization   13.00 μB per formula unit